GaCuAu5, optimized geometry, DFT PBE; energy of formation from the pure elements = -0.4 eV per formula unit; M_tot = 0.0 μB per formula unit; ρ = 14.88 Mg/m³
1.0
4.6904 0.3608 0.0021
0.8567 4.6256 0.0021
-0.0053 -0.0048 11.6680
Au Cu Ga
10 2 2
Cartesian
4.5660 0.4912 8.7531
2.2256 0.8565 7.0822
2.2243 0.8554 10.4225
4.4512 2.8571 10.4239
1.0906 2.1245 1.2482
3.3175 4.1262 1.2497
0.9758 4.4905 2.9191
4.4524 2.8583 7.0837
3.3162 4.1251 4.5900
1.0894 2.1233 4.5885
0.0000 0.0000 0.0000
-0.0027 -0.0024 5.8340
3.1388 2.0843 2.9191
2.4031 2.8974 8.7531

IrRhSe2Br, optimized geometry, DFT PBE; M_tot = 2.0 μB per formula unit; uncorrected formation energy = 90.0 kJ per mole of atoms; ρ = 7.32 Mg/m³
1.0
4.8227 0.0000 0.0000
0.0000 4.8227 0.0000
0.0000 0.0000 5.1978
Ir Rh Se Br
1 1 2 1
Cartesian
0.0000 0.0000 0.0000
2.4113 2.4113 2.5989
2.4113 0.0000 0.0000
0.0000 2.4113 0.0000
0.0000 0.0000 2.5989